No. 1
Here is crystalline Pr3Dy3Mg at its relaxed geometry from the Alexandria database. Energies are from PBE-GGA.

Unit cell a=5.689 b=9.629 c=9.629 alpha=120.00 beta=90.00 gamma=90.00
Sites, in units of the cell vectors:
1 Dy 0.250 0.234 0.182
2 Pr 0.750 0.631 0.102
3 Pr 0.250 0.369 0.898
4 Mg 0.750 0.333 0.666
5 Dy 0.250 0.818 0.052
6 Pr 0.250 0.529 0.631
7 Dy 0.750 0.182 0.948
8 Pr 0.250 0.102 0.471
9 Pr 0.750 0.898 0.529
10 Dy 0.750 0.766 0.818
11 Dy 0.250 0.948 0.766
12 Pr 0.750 0.471 0.369
13 Mg 0.250 0.667 0.334
14 Dy 0.750 0.052 0.234

Relative energy among the computed polymorphs = 0.0000 eV per atom


No. 2
Here is crystalline Pr4Dy5Mg2 at its relaxed geometry from the Alexandria database. Energies are from PBE-GGA.

Unit cell a=3.523 b=11.722 c=13.900 alpha=141.20 beta=97.34 gamma=89.93
Sites, in units of the cell vectors:
1 Dy 0.738 0.118 0.474
2 Pr 0.043 0.795 0.084
3 Pr 0.368 0.545 0.729
4 Dy 0.178 0.276 0.357
5 Dy 0.262 0.882 0.526
6 Mg 0.404 0.352 0.813
7 Pr 0.957 0.205 0.916
8 Dy 0.822 0.724 0.643
9 Mg 0.596 0.648 0.187
10 Dy 0.500 0.000 0.000
11 Pr 0.632 0.455 0.271


No. 3
Here is crystalline PrDy2Mg6 at its relaxed geometry from the Alexandria database. Energies are from PBE-GGA.

Unit cell a=3.321 b=9.129 c=9.129 alpha=120.00 beta=90.00 gamma=90.00
Sites, in units of the cell vectors:
1 Dy 0.000 0.333 0.667
2 Mg 0.500 0.000 0.663
3 Dy 0.000 0.667 0.333
4 Mg 0.500 0.000 0.337
5 Mg 0.500 0.337 0.337
6 Pr 0.000 0.000 0.000
7 Mg 0.500 0.663 0.663
8 Mg 0.500 0.663 0.000
9 Mg 0.500 0.337 0.000


No. 4
Here is crystalline Pr3Dy4Mg at its relaxed geometry from the Alexandria database. Energies are from PBE-GGA.

Unit cell a=6.249 b=7.279 c=11.421 alpha=90.00 beta=90.00 gamma=90.00
Sites, in units of the cell vectors:
1 Dy 0.487 0.632 0.000
2 Pr 0.150 0.622 0.244
3 Pr 0.150 0.622 0.756
4 Pr 0.991 0.875 0.500
5 Pr 0.491 0.125 0.000
6 Dy 0.987 0.368 0.500
7 Pr 0.650 0.378 0.744
8 Dy 0.970 0.873 0.000
9 Pr 0.650 0.378 0.256
10 Dy 0.639 0.875 0.744
11 Dy 0.470 0.127 0.500
12 Dy 0.639 0.875 0.256
13 Mg 0.988 0.376 0.000
14 Dy 0.139 0.125 0.756
15 Mg 0.488 0.624 0.500
16 Dy 0.139 0.125 0.244

Relative energy among the computed polymorphs = 0.0000 eV per atom


No. 5
Here is crystalline Pr6Dy8Mg at its relaxed geometry from the Alexandria database. Energies are from PBE-GGA.

Unit cell a=6.359 b=9.556 c=9.556 alpha=120.00 beta=90.00 gamma=90.00
Sites, in units of the cell vectors:
1 Pr 0.687 0.449 0.361
2 Dy 0.188 0.264 0.225
3 Pr 0.687 0.911 0.551
4 Pr 0.313 0.089 0.449
5 Pr 0.313 0.361 0.911
6 Dy 0.188 0.961 0.736
7 Dy 0.169 0.667 0.333
8 Pr 0.313 0.551 0.639
9 Dy 0.812 0.225 0.961
10 Dy 0.188 0.775 0.039
11 Dy 0.812 0.736 0.775
12 Dy 0.831 0.333 0.667
13 Mg 0.500 0.000 0.000
14 Dy 0.812 0.039 0.264
15 Pr 0.687 0.639 0.089

Relative energy among the computed polymorphs = 0.0340 eV per atom


No. 6
Here is crystalline Pr2Dy4Mg at its relaxed geometry from the Alexandria database. Energies are from PBE-GGA.

Unit cell a=8.229 b=8.229 c=6.728 alpha=127.70 beta=127.70 gamma=90.00
Sites, in units of the cell vectors:
1 Mg 0.500 0.500 0.000
2 Dy 0.721 0.721 0.848
3 Pr 0.750 0.250 0.500
4 Dy 0.873 0.279 0.152
5 Dy 0.279 0.873 0.152
6 Dy 0.127 0.127 0.848
7 Pr 0.250 0.750 0.500

Relative energy among the computed polymorphs = 0.0893 eV per atom


Formation energy / eV/atom: 0.014, 0.037, -0.081, 0.010, 0.123, 0.313
VASP energy / eV per formula unit: -29.6, -44.9, -24.3, -34.3, -65.2, -27.4